Density functional theory data (PBE) for Sr2TaZn after structural relaxation.

Results
**ΔE_f**: 0.89 eV per atom

Lattice parameters (Å, degrees): 7.629 7.629 7.629 90.00 90.00 90.00
Space group F-43m (No. 216)
Symmetry-distinct sites (fractional):
1 Sr 0.000 0.000 0.000 [4 per cell]
2 Sr 0.250 0.250 0.250 [4 per cell]
3 Ta 0.250 0.250 0.750 [4 per cell]
4 Zn 0.000 0.000 0.500 [4 per cell]